Material: AcLaSbTe
Method: DFT, PBE
State: relaxed

## Properties
As for the excess energy over the best structure of this formula in the dataset: 0 meV/atom. The calculation puts the raw total energy at -0.405 Ry per atom. For the uncorrected formation energy, the calculation gives -1.4337 eV per atom. The density of states at the Fermi level is 2.1 states/eV per cell.

Cell: 4.6918 4.6918 8.1226 Å, 73.21 73.21 60.00°
Sites, in units of the cell vectors:
Ac (0.4412, 0.4412, 0.6763)
Te (0.1973, 0.1973, 0.4080)
Sb (0.6908, 0.6908, 0.9277)
La (0.9471, 0.9471, 0.1588)


Material: Ho12Zn6Rh
Method: DFT, PBE
State: relaxed

## Properties
The calculation puts the raw total energy at -0.282 Ry per atom. The formation enthalpy at 0 K comes out at -3.028 eV/f.u. The density of states at the Fermi level is 18.1 states/eV per cell.

Cell: 7.9577 7.9577 7.9577 Å, 93.17 93.17 93.17°
Sites, in units of the cell vectors:
Ho (0.1028, 0.3212, 0.9659)
Ho (0.5662, 0.4512, 0.8010)
Ho (0.0341, 0.8972, 0.6788)
Ho (0.8010, 0.5662, 0.4512)
Ho (0.6788, 0.0341, 0.8972)
Ho (0.4338, 0.5488, 0.1990)
Ho (0.1990, 0.4338, 0.5488)
Ho (0.3212, 0.9659, 0.1028)
Ho (0.5488, 0.1990, 0.4338)
Ho (0.9659, 0.1028, 0.3212)
Ho (0.8972, 0.6788, 0.0341)
Ho (0.4512, 0.8010, 0.5662)
Zn (0.8628, 0.2647, 0.6572)
Zn (0.2647, 0.6572, 0.8628)
Zn (0.7353, 0.3428, 0.1372)
Zn (0.3428, 0.1372, 0.7353)
Zn (0.6572, 0.8628, 0.2647)
Zn (0.1372, 0.7353, 0.3428)
Rh (0.0000, 0.0000, 0.0000)


Material: CsNa2GaPb
Method: DFT, PBE
State: relaxed

## Properties
As for the excess energy over the best structure of this formula in the dataset: 0 meV/atom. The calculation puts the raw total energy at -0.151 Ry per atom. The formation enthalpy at 0 K comes out at -0.068 eV/f.u. The density of states at the Fermi level is 2.3 states/eV per cell.

Cell: 5.9255 5.9255 5.6644 Å, 90.00 90.00 90.00°
Sites, in units of the cell vectors:
Cs (0.5000, 0.5000, 0.5000)
Pb (0.0000, 0.0000, 0.5000)
Na (0.0000, 0.5000, 0.0000)
Na (0.5000, 0.0000, 0.0000)
Ga (0.0000, 0.0000, 0.0000)


Material: Cs4Na2Os
Method: DFT, PBE
State: relaxed

## Properties
The calculation puts the raw total energy at -0.123 Ry per atom. The formation enthalpy at 0 K comes out at 5.560 eV/f.u. The density of states at the Fermi level is 10.1 states/eV per cell.

Cell: 6.2616 6.2616 11.8080 Å, 74.62 74.62 90.00°
Sites, in units of the cell vectors:
Cs (0.1556, 0.1556, 0.6888)
Cs (0.0000, 0.5000, 0.0000)
Cs (0.8444, 0.8444, 0.3112)
Cs (0.5000, 0.0000, 0.0000)
Na (0.3491, 0.3491, 0.3019)
Na (0.6509, 0.6509, 0.6981)
Os (0.0000, 0.0000, 0.0000)


Material: CrB2W
Method: DFT, PBE
State: relaxed

## Properties
As for the excess energy over the best structure of this formula in the dataset: 345 meV/atom. The calculation puts the raw total energy at -0.668 Ry per atom. The formation enthalpy at 0 K comes out at -0.396 eV/f.u. The density of states at the Fermi level is 2.8 states/eV per cell.

Cell: 3.0878 3.0878 5.2272 Å, 72.82 72.82 60.00°
Sites, in units of the cell vectors:
B (0.2566, 0.2566, 0.2302)
B (0.7434, 0.7434, 0.7698)
Cr (0.0000, 0.0000, 0.0000)
W (0.5000, 0.5000, 0.5000)


Material: Np2CrAg2S6
Method: DFT, PBE
State: relaxed

## Properties
The calculation puts the raw total energy at -0.499 Ry per atom. For the uncorrected formation energy, the calculation gives -0.7959 eV per atom. The density of states at the Fermi level is 19.4 states/eV per cell.

Cell: 6.6832 6.6832 6.5470 Å, 100.45 100.45 120.08°
Sites, in units of the cell vectors:
S (0.9163, 0.6048, 0.2681)
S (0.2245, 0.2245, 0.2738)
S (0.0837, 0.3952, 0.7319)
S (0.3952, 0.0837, 0.7319)
S (0.7755, 0.7755, 0.7262)
S (0.6048, 0.9163, 0.2681)
Cr (0.0000, 0.0000, 0.5000)
Np (0.6675, 0.3325, 0.5000)
Np (0.3325, 0.6675, 0.5000)
Ag (0.1803, 0.8197, 0.0000)
Ag (0.8197, 0.1803, 0.0000)


Material: Al2ZnP
Method: DFT, PBE
State: relaxed

## Properties
As for the excess energy over the best structure of this formula in the dataset: 232 meV/atom. The calculation puts the raw total energy at -0.242 Ry per atom. The formation enthalpy at 0 K comes out at 1.002 eV/f.u. The density of states at the Fermi level is 2.1 states/eV per cell.

Cell: 4.5461 4.5461 4.5461 Å, 60.00 60.00 60.00°
Sites, in units of the cell vectors:
P (0.5000, 0.5000, 0.5000)
Al (0.2500, 0.2500, 0.2500)
Al (0.0000, 0.0000, 0.0000)
Zn (0.7500, 0.7500, 0.7500)


Material: ErVGe3
Method: DFT, PBE
State: relaxed

## Properties
The calculation puts the raw total energy at -0.431 Ry per atom. The formation enthalpy at 0 K comes out at -1.784 eV/f.u. The density of states at the Fermi level is 14.9 states/eV per cell.

Cell: 5.5770 5.3210 12.6992 Å, 90.00 90.00 90.00°
Sites, in units of the cell vectors:
V (0.0000, 0.2500, 0.0903)
V (0.5000, 0.2500, 0.0903)
V (0.5000, 0.7500, 0.9097)
V (0.0000, 0.7500, 0.9097)
Ge (0.7500, 0.8265, 0.0773)
Ge (0.2500, 0.1735, 0.9227)
Ge (0.0000, 0.7500, 0.5015)
Ge (0.2500, 0.5022, 0.7755)
Ge (0.5000, 0.7500, 0.5015)
Ge (0.7500, 0.9978, 0.7755)
Ge (0.5000, 0.2500, 0.4985)
Ge (0.7500, 0.4978, 0.2245)
Ge (0.0000, 0.2500, 0.4985)
Ge (0.2500, 0.0022, 0.2245)
Ge (0.7500, 0.3265, 0.9227)
Ge (0.2500, 0.6735, 0.0773)
Er (0.2500, 0.0022, 0.6866)
Er (0.7500, 0.9978, 0.3134)
Er (0.7500, 0.4978, 0.6866)
Er (0.2500, 0.5022, 0.3134)


Material: RbLiCdBi2
Method: DFT, PBE
State: relaxed

## Properties
The calculation puts the raw total energy at -0.193 Ry per atom. The formation enthalpy at 0 K comes out at -1.555 eV/f.u. The density of states at the Fermi level is 1.4 states/eV per cell.

Cell: 5.2102 5.2102 7.1611 Å, 111.33 111.33 90.00°
Sites, in units of the cell vectors:
Li (0.7500, 0.2500, 0.5000)
Rb (0.0000, 0.0000, 0.0000)
Cd (0.2500, 0.7500, 0.5000)
Bi (0.3736, 0.3736, 0.7471)
Bi (0.6264, 0.6264, 0.2529)


Material: MgBiAs2Br
Method: DFT, PBE
State: relaxed

## Properties
As for the excess energy over the best structure of this formula in the dataset: 0 meV/atom. The calculation puts the raw total energy at -0.224 Ry per atom. For the uncorrected formation energy, the calculation gives 0.2371 eV per atom. The density of states at the Fermi level is 4.5 states/eV per cell.

Cell: 5.1672 5.1672 4.9645 Å, 90.00 90.00 90.00°
Sites, in units of the cell vectors:
Mg (0.0000, 0.0000, 0.0000)
Br (0.0000, 0.0000, 0.5000)
As (0.0000, 0.5000, 0.0000)
As (0.5000, 0.0000, 0.0000)
Bi (0.5000, 0.5000, 0.5000)


Material: BaH2Rh
Method: DFT, PBE
State: relaxed

## Properties
As for the excess energy over the best structure of this formula in the dataset: 0 meV/atom. The calculation puts the raw total energy at -0.313 Ry per atom. The density of states at the Fermi level is 5.6 states/eV per cell.

Cell: 4.7126 4.7126 6.4562 Å, 68.59 68.59 90.00°
Sites, in units of the cell vectors:
H (0.3732, 0.1250, 0.2500)
H (0.3768, 0.6250, 0.2500)
H (0.8750, 0.6232, 0.7500)
H (0.3750, 0.6268, 0.7500)
Rh (0.2500, 0.7500, 0.5000)
Rh (0.5000, 0.5000, 0.0000)
Ba (0.0000, 0.0000, 0.0000)
Ba (0.7500, 0.2500, 0.5000)


Material: Pm3YIn3Te8
Method: DFT, PBE
State: relaxed

## Properties
The calculation puts the raw total energy at -0.340 Ry per atom. For the uncorrected formation energy, the calculation gives -1.0242 eV per atom. The density of states at the Fermi level is 5.9 states/eV per cell.

Cell: 8.9071 8.9039 9.4201 Å, 118.18 90.01 120.01°
Sites, in units of the cell vectors:
In (0.0000, 0.5000, 0.0000)
In (0.0000, 0.0000, 0.0000)
In (0.5000, 0.5000, 0.0000)
Pm (0.5000, 0.0000, 0.5000)
Pm (0.0000, 0.5000, 0.5000)
Pm (0.5000, 0.5000, 0.5000)
Y (0.0000, 0.0000, 0.5000)
Te (0.7446, 0.4888, 0.7334)
Te (0.7596, 0.0117, 0.2714)
Te (0.2522, 0.0119, 0.2716)
Te (0.7597, 0.5195, 0.2716)
Te (0.2554, 0.5112, 0.2666)
Te (0.2403, 0.4805, 0.7284)
Te (0.7478, 0.9881, 0.7284)
Te (0.2404, 0.9883, 0.7286)


What is the formula in the fourth record?
Cs4Na2Os


Which of these has the lowest raw total energy?
CrB2W


Among the records above, which one has the highest raw total energy?
Cs4Na2Os